TiHI2F after structural relaxation. Source: Alexandria via LeMat-Bulk, functional PBEsol.

```
TiHI2F
1.0
5.0030 0.0000 0.0000
0.0000 5.0030 0.0000
0.0000 0.0000 3.4876
Ti H I F
1 1 2 1
Cartesian
0.0000 0.0000 0.0000
0.0000 0.0000 1.7438
0.0000 2.5015 1.7438
2.5015 0.0000 1.7438
2.5015 2.5015 0.0000
```

Output
Fermi-level density of states (states/eV/cell): 3.07
SG: P4/mmm (123)
DFT total energy (eV/cell): -18.23
Crystal system: tetragonal